Computed, not measured: a relaxed structure of Li4DyTl5 at the PBE level of DFT.

Summary:
The space-group type is No. 123. The total energy comes out at -2.653 eV per atom.

Unit cell a=3.565 b=3.565 c=17.600 alpha=90.00 beta=90.00 gamma=90.00
Fractional positions:
Li 0.000 0.000 0.098
Li 0.000 0.000 0.289
Li 0.000 0.000 0.711
Li 0.000 0.000 0.902
Dy 0.000 0.000 0.500
Tl 0.500 0.500 0.000
Tl 0.500 0.500 0.194
Tl 0.500 0.500 0.380
Tl 0.500 0.500 0.620
Tl 0.500 0.500 0.806